# 1
A relaxed structure of ZrSiMo, computed with GGA-PBEsol.

Cell and atoms, written as extended XYZ:
```
3
Lattice="-1.661 1.661 4.501 1.661 -1.661 4.501 1.661 1.661 -4.501" Properties=species:S:1:pos:R:3 pbc="T T T"
Zr 0.000 0.000 0.000
Si 0.000 0.000 2.814
Mo 0.000 0.000 6.170
```

Uncorrected formation energy (eV/atom): -0.39
Crystal system: tetragonal

=====

# 2
A relaxed structure of Zr2Si2Mo, computed with GGA-PBEsol.

Cell and atoms, written as extended XYZ:
```
10
Lattice="6.666 0.000 0.000 0.000 6.666 0.000 0.000 0.000 3.758" Properties=species:S:1:pos:R:3 pbc="T T T"
Zr 1.165 2.169 0.000
Zr 2.169 5.502 0.000
Zr 4.498 1.165 0.000
Zr 5.502 4.498 0.000
Si 0.853 4.186 1.879
Si 2.480 0.853 1.879
Si 4.186 5.814 1.879
Si 5.814 2.480 1.879
Mo 0.000 0.000 1.879
Mo 3.333 3.333 1.879
```

Uncorrected formation energy (eV/atom): -0.86
Crystal system: tetragonal

=====

# 3
A relaxed structure of ZrSiMo, computed with GGA-PBEsol.

Cell and atoms, written as extended XYZ:
```
12
Lattice="6.938 0.000 0.000 0.000 3.489 0.000 0.000 0.000 8.165" Properties=species:S:1:pos:R:3 pbc="T T T"
Zr 0.301 0.872 1.366
Zr 3.168 2.616 5.449
Zr 3.770 0.872 2.716
Zr 6.637 2.616 6.799
Si 1.692 2.616 2.958
Si 1.778 0.872 7.040
Si 5.161 2.616 1.125
Si 5.247 0.872 5.207
Mo 0.903 0.872 4.581
Mo 2.566 2.616 0.499
Mo 4.372 0.872 7.666
Mo 6.035 2.616 3.584
```

Uncorrected formation energy (eV/atom): -0.77
Crystal system: orthorhombic

=====

# 4
A relaxed structure of Sn2Mo, computed with GGA-PBEsol.

Cell and atoms, written as extended XYZ:
```
18
Lattice="5.460 0.000 0.000 -2.730 4.728 0.000 0.000 0.000 14.131" Properties=species:S:1:pos:R:3 pbc="T T T"
Sn -1.365 2.364 0.895
Sn -1.365 2.364 3.815
Sn 0.000 1.590 7.066
Sn -1.353 3.933 11.776
Sn 1.377 0.795 2.355
Sn 2.730 0.000 5.605
Sn 2.730 0.000 8.526
Sn 1.365 2.364 10.316
Sn 1.365 2.364 13.236
Sn 1.353 3.933 2.355
Sn 4.083 0.795 11.776
Sn 2.730 3.138 7.066
Mo 0.000 0.000 0.000
Mo 0.000 0.000 4.710
Mo 0.000 0.000 9.421
Mo -1.365 2.364 9.421
Mo 2.730 0.000 0.000
Mo 1.365 2.364 4.710
```

Crystal system: hexagonal
ΔE_f (meV per atom): -35

=====

# 5
A relaxed structure of Sr2SnMo2, computed with GGA-PBEsol.

Cell and atoms, written as extended XYZ:
```
5
Lattice="-2.349 2.349 6.639 2.349 -2.349 6.639 2.349 2.349 -6.639" Properties=species:S:1:pos:R:3 pbc="T T T"
Sr 2.349 0.000 3.319
Sr 0.000 2.349 3.319
Sn 0.000 0.000 0.000
Mo 0.000 0.000 5.653
Mo 0.000 0.000 7.624
```

Crystal system: tetragonal
ΔE_f (meV per atom): 1177

=====

# 6
A relaxed structure of Ta2SnMo, computed with GGA-PBEsol.

Cell and atoms, written as extended XYZ:
```
4
Lattice="0.000 3.276 3.276 3.276 0.000 3.276 3.276 3.276 0.000" Properties=species:S:1:pos:R:3 pbc="T T T"
Ta 1.638 1.638 1.638
Ta 4.915 4.915 4.915
Sn 0.000 0.000 0.000
Mo 3.276 3.276 3.276
```

Crystal system: cubic
ΔE_f (meV per atom): 198

=====

# 7
A relaxed structure of Tc3SnMo, computed with GGA-PBEsol.

Cell and atoms, written as extended XYZ:
```
5
Lattice="4.670 0.000 0.000 0.000 4.670 0.000 0.000 0.000 4.670" Properties=species:S:1:pos:R:3 pbc="T T T"
Tc 0.000 0.000 2.335
Tc 0.000 2.335 0.000
Tc 2.335 0.000 0.000
Sn 0.000 0.000 0.000
Mo 2.335 2.335 2.335
```

Crystal system: cubic
ΔE_f (meV per atom): 2509

=====

# 8
A relaxed structure of Sn2Te2Mo, computed with GGA-PBEsol.

Cell and atoms, written as extended XYZ:
```
5
Lattice="-1.947 1.947 9.160 1.947 -1.947 9.160 1.947 1.947 -9.160" Properties=species:S:1:pos:R:3 pbc="T T T"
Sn 0.000 0.000 1.430
Sn 0.000 0.000 16.891
Te 1.947 0.000 4.580
Te 0.000 1.947 4.580
Mo 0.000 0.000 9.160
```

Uncorrected formation energy (eV/atom): 0.80
Crystal system: tetragonal

=====

# 9
A relaxed structure of TiSn2TeMo, computed with GGA-PBEsol.

Cell and atoms, written as extended XYZ:
```
5
Lattice="5.257 0.000 0.000 0.000 5.257 0.000 0.000 0.000 4.495" Properties=species:S:1:pos:R:3 pbc="T T T"
Ti 0.000 0.000 0.000
Sn 0.000 2.629 0.000
Sn 2.629 0.000 0.000
Te 2.629 2.629 2.247
Mo 0.000 0.000 2.247
```

Uncorrected formation energy (eV/atom): 0.77
Crystal system: tetragonal

=====

# 10
A relaxed structure of Ti3SnMo, computed with GGA-PBEsol.

Cell and atoms, written as extended XYZ:
```
5
Lattice="4.828 0.000 0.000 0.000 4.828 0.000 0.000 0.000 4.828" Properties=species:S:1:pos:R:3 pbc="T T T"
Ti 0.000 0.000 2.414
Ti 0.000 2.414 0.000
Ti 2.414 0.000 0.000
Sn 0.000 0.000 0.000
Mo 2.414 2.414 2.414
```

Crystal system: cubic
ΔE_f (meV per atom): 1574

=====

# 11
A relaxed structure of Tl3SnMo, computed with GGA-PBEsol.

Cell and atoms, written as extended XYZ:
```
5
Lattice="5.581 0.000 0.000 0.000 5.581 0.000 0.000 0.000 5.581" Properties=species:S:1:pos:R:3 pbc="T T T"
Tl 0.000 0.000 2.790
Tl 0.000 2.790 0.000
Tl 2.790 0.000 0.000
Sn 0.000 0.000 0.000
Mo 2.790 2.790 2.790
```

Crystal system: cubic
ΔE_f (meV per atom): 1416

=====

# 12
A relaxed structure of TlSn3Mo, computed with GGA-PBEsol.

Cell and atoms, written as extended XYZ:
```
5
Lattice="5.226 0.000 0.000 0.000 5.226 0.000 0.000 0.000 5.226" Properties=species:S:1:pos:R:3 pbc="T T T"
Tl 0.000 0.000 0.000
Sn 0.000 2.613 2.613
Sn 2.613 0.000 2.613
Sn 2.613 2.613 0.000
Mo 2.613 2.613 2.613
```

Crystal system: cubic
ΔE_f (meV per atom): 277